# 1
Entry from Alexandria: a geometry-optimized Ba2TiTc structure (PBE).

Results
* energy above the lowest structure with this stoichiometry: 0.000 eV/atom
* Fermi-level density of states: 1.21 states/eV/atom
* raw total energy: -4.8434 eV per atom

Unit cell a=12.398 b=12.398 c=4.531 alpha=90.00 beta=90.00 gamma=90.00
Space group I-42d (No. 122)
Symmetry-distinct sites (fractional):
Ba 0.065 0.250 0.125 (multiplicity 8)
Ti 0.000 0.000 0.500 (multiplicity 4)
Tc 0.000 0.000 0.000 (multiplicity 4)


# 2
Entry from Alexandria: a geometry-optimized Ba2TiTc2 structure (PBE).

Results
* energy above the lowest structure with this stoichiometry: 0.744 eV/atom
* Fermi-level density of states: 1.85 states/eV/atom
* raw total energy: -4.9154 eV per atom

Unit cell a=9.378 b=9.378 c=2.931 alpha=90.00 beta=90.00 gamma=90.00
Space group P4/mbm (No. 127)
Symmetry-distinct sites (fractional):
Ba 0.130 0.370 0.000 (multiplicity 4)
Ti 0.000 0.000 0.000 (multiplicity 2)
Tc 0.177 0.677 0.500 (multiplicity 4)


# 3
Entry from Alexandria: a geometry-optimized BaTi2Tc2 structure (PBE).

Results
* energy above the lowest structure with this stoichiometry: 0.000 eV/atom
* Fermi-level density of states: 0.68 states/eV/atom
* raw total energy: -7.3965 eV per atom

Unit cell a=8.108 b=8.108 c=3.121 alpha=90.00 beta=90.00 gamma=90.00
Space group P4/mbm (No. 127)
Symmetry-distinct sites (fractional):
Ba 0.000 0.000 0.000 (multiplicity 2)
Ti 0.123 0.377 0.000 (multiplicity 4)
Tc 0.132 0.632 0.500 (multiplicity 4)


# 4
Entry from Alexandria: a geometry-optimized Ba2TiTc structure (PBE).

Results
* energy above the lowest structure with this stoichiometry: 0.574 eV/atom
* Fermi-level density of states: 2.27 states/eV/atom
* raw total energy: -4.2699 eV per atom

Unit cell a=7.626 b=7.626 c=7.626 alpha=90.00 beta=90.00 gamma=90.00
Space group Fm-3m (No. 225)
Symmetry-distinct sites (fractional):
Ba 0.250 0.250 0.250 (multiplicity 8)
Ti 0.000 0.000 0.000 (multiplicity 4)
Tc 0.000 0.000 0.500 (multiplicity 4)


# 5
Entry from Alexandria: a geometry-optimized BaTi2Tc2 structure (PBE).

Results
* energy above the lowest structure with this stoichiometry: 0.039 eV/atom
* Fermi-level density of states: 0.78 states/eV/atom
* raw total energy: -7.3576 eV per atom

Unit cell a=4.313 b=4.313 c=12.216 alpha=90.00 beta=90.00 gamma=90.00
Space group I4/mmm (No. 139)
Symmetry-distinct sites (fractional):
Ba 0.000 0.000 0.000 (multiplicity 2)
Ti 0.000 0.000 0.355 (multiplicity 4)
Tc 0.000 0.500 0.250 (multiplicity 4)


# 6
Entry from Alexandria: a geometry-optimized BaTiTc3 structure (PBE).

Results
* energy above the lowest structure with this stoichiometry: 1.687 eV/atom
* Fermi-level density of states: 2.07 states/eV/atom
* raw total energy: -5.3340 eV per atom

Unit cell a=4.876 b=4.876 c=4.876 alpha=90.00 beta=90.00 gamma=90.00
Space group Pm-3m (No. 221)
Symmetry-distinct sites (fractional):
Ba 0.000 0.000 0.000 (multiplicity 1)
Ti 0.500 0.500 0.500 (multiplicity 1)
Tc 0.000 0.000 0.500 (multiplicity 3)


# 7
Entry from Alexandria: a geometry-optimized BaTi2Tc structure (PBE).

Results
* energy above the lowest structure with this stoichiometry: 0.136 eV/atom
* Fermi-level density of states: 1.78 states/eV/atom
* raw total energy: -6.1285 eV per atom

Unit cell a=5.535 b=5.535 c=15.771 alpha=90.00 beta=90.00 gamma=90.00
Space group I4_1/amd (No. 141, origin choice 2)
Symmetry-distinct sites (fractional):
Ba 0.000 0.250 0.375 (multiplicity 4)
Ti 0.000 0.000 0.000 (multiplicity 8)
Tc 0.000 0.250 0.875 (multiplicity 4)


# 8
Entry from Alexandria: a geometry-optimized Ba2TiTc2 structure (PBE).

Results
* energy above the lowest structure with this stoichiometry: 0.000 eV/atom
* Fermi-level density of states: 1.10 states/eV/atom
* raw total energy: -5.6591 eV per atom

Unit cell a=3.534 b=3.534 c=23.163 alpha=90.00 beta=90.00 gamma=90.00
Space group I4/mmm (No. 139)
Symmetry-distinct sites (fractional):
Ba 0.000 0.000 0.123 (multiplicity 4)
Ti 0.000 0.000 0.500 (multiplicity 2)
Tc 0.000 0.500 0.250 (multiplicity 4)


# 9
Entry from Alexandria: a geometry-optimized BaTi2Tc structure (PBE).

Results
* energy above the lowest structure with this stoichiometry: 0.000 eV/atom
* Fermi-level density of states: 1.87 states/eV/atom
* raw total energy: -6.2649 eV per atom

Unit cell a=6.822 b=6.822 c=6.822 alpha=90.00 beta=90.00 gamma=90.00
Space group Fm-3m (No. 225)
Symmetry-distinct sites (fractional):
Ba 0.000 0.000 0.000 (multiplicity 4)
Ti 0.250 0.250 0.250 (multiplicity 8)
Tc 0.000 0.000 0.500 (multiplicity 4)


# 10
Entry from Alexandria: a geometry-optimized BaTiTc2 structure (PBE).

Results
* energy above the lowest structure with this stoichiometry: 0.031 eV/atom
* Fermi-level density of states: 0.73 states/eV/atom
* raw total energy: -6.7610 eV per atom

Unit cell a=6.730 b=6.730 c=6.730 alpha=90.00 beta=90.00 gamma=90.00
Space group Fm-3m (No. 225)
Symmetry-distinct sites (fractional):
Ba 0.000 0.000 0.000 (multiplicity 4)
Ti 0.000 0.000 0.500 (multiplicity 4)
Tc 0.250 0.250 0.250 (multiplicity 8)


# 11
Entry from Alexandria: a geometry-optimized BaTiTc2 structure (PBE).

Results
* energy above the lowest structure with this stoichiometry: 0.000 eV/atom
* Fermi-level density of states: 1.46 states/eV/atom
* raw total energy: -6.7919 eV per atom

Unit cell a=4.997 b=4.997 c=17.062 alpha=90.00 beta=90.00 gamma=90.00
Space group I4_1/amd (No. 141, origin choice 2)
Symmetry-distinct sites (fractional):
Ba 0.000 0.250 0.375 (multiplicity 4)
Ti 0.000 0.250 0.875 (multiplicity 4)
Tc 0.000 0.000 0.000 (multiplicity 8)


# 12
Entry from Alexandria: a geometry-optimized BaTi3Tc structure (PBE).

Results
* energy above the lowest structure with this stoichiometry: 1.808 eV/atom
* Fermi-level density of states: 1.90 states/eV/atom
* raw total energy: -4.9671 eV per atom

Unit cell a=4.844 b=4.844 c=4.844 alpha=90.00 beta=90.00 gamma=90.00
Space group Pm-3m (No. 221)
Symmetry-distinct sites (fractional):
Ba 0.000 0.000 0.000 (multiplicity 1)
Ti 0.000 0.000 0.500 (multiplicity 3)
Tc 0.500 0.500 0.500 (multiplicity 1)


| no. | ΔH_f (0 K) (eV/atom) |
| --- | --- |
| 1 | 0.68 |
| 2 | 1.58 |
| 3 | 0.29 |
| 4 | 1.26 |
| 5 | 0.33 |
| 6 | 2.85 |
| 7 | 0.89 |
| 8 | 0.84 |
| 9 | 0.75 |
| 10 | 0.88 |
| 11 | 0.85 |
| 12 | 2.23 |